P.
A relaxed BaTl2Hg3 crystal, computed with PBE.

```
BaTl2Hg3
1.0
-4.854 -4.249 -2.443
3.951 -5.862 2.346
-3.933 0.891 6.262
Tl Hg Ba
4 6 2
direct
0.000 0.766 0.234
0.500 0.766 0.234
0.000 0.234 0.766
0.500 0.234 0.766
0.250 0.861 0.582
0.250 0.994 0.994
0.750 0.139 0.418
0.750 0.418 0.139
0.750 0.006 0.006
0.250 0.582 0.861
0.250 0.333 0.333
0.750 0.667 0.667
```

Values from the calculation:
Its density of states at the Fermi level is 3.2 states/eV per cell.

Q.
A relaxed BaTl2Hg3 crystal, computed with PBE.

```
BaTl2Hg3
1.0
5.412 0.000 0.000
-2.706 4.687 0.000
0.000 0.000 14.673
Tl Hg Ba
4 6 2
direct
0.333 0.667 0.914
0.667 0.333 0.414
0.667 0.333 0.086
0.333 0.667 0.586
0.333 0.667 0.136
0.333 0.667 0.364
0.000 0.000 0.000
0.667 0.333 0.864
0.000 0.000 0.500
0.667 0.333 0.636
0.000 0.000 0.750
0.000 0.000 0.250
```

Values from the calculation:
Its density of states at the Fermi level is 7.6 states/eV per cell.

Q is favored, and the nearest alternative lies 0.027 eV/atom above it.

P.
A relaxed Ba2Tl2Hg crystal, computed with PBE.

```
Ba2Tl2Hg
1.0
-1.357 -2.430 4.349
4.106 -5.299 1.386
5.910 6.006 8.264
Hg Tl Ba
2 4 4
direct
0.383 0.896 0.339
0.617 0.104 0.661
0.638 0.834 0.891
0.916 0.726 0.441
0.084 0.274 0.559
0.362 0.166 0.109
0.075 0.736 0.114
0.925 0.264 0.886
0.316 0.707 0.662
0.684 0.293 0.338
```

Values from the calculation:
Its density of states at the Fermi level is 10.2 states/eV per cell.

Q.
A relaxed Ba2Tl2Hg crystal, computed with PBE.

```
Ba2Tl2Hg
1.0
4.408 0.000 0.000
0.000 4.408 0.000
2.204 2.204 10.284
Ba Tl Hg
2 2 1
direct
0.597 0.597 0.806
0.403 0.403 0.194
0.750 0.250 0.500
0.250 0.750 0.500
0.000 0.000 0.000
```

Values from the calculation:
Its density of states at the Fermi level is 4.4 states/eV per cell.

R.
A relaxed Ba2Tl2Hg crystal, computed with PBE.

```
Ba2Tl2Hg
1.0
9.413 0.000 0.000
0.000 9.413 0.000
0.000 0.000 4.454
Tl Hg Ba
4 2 4
direct
0.879 0.621 0.000
0.121 0.379 0.000
0.379 0.879 0.000
0.621 0.121 0.000
0.500 0.500 0.000
0.000 0.000 0.000
0.323 0.177 0.500
0.823 0.323 0.500
0.677 0.823 0.500
0.177 0.677 0.500
```

Values from the calculation:
Its density of states at the Fermi level is 8.8 states/eV per cell.

P is favored, and the nearest alternative lies 0.101 eV/atom above it.

P.
A relaxed Ba2Tl2Hg crystal, computed with PBE.

```
Ba2Tl2Hg
1.0
9.902 0.000 0.000
0.000 9.902 0.000
0.000 0.000 4.240
Ba Tl Hg
4 4 2
direct
0.315 0.815 0.000
0.685 0.185 0.000
0.815 0.685 0.000
0.185 0.315 0.000
0.388 0.112 0.500
0.888 0.388 0.500
0.612 0.888 0.500
0.112 0.612 0.500
0.500 0.500 0.000
0.000 0.000 0.000
```

Values from the calculation:
Its density of states at the Fermi level is 11.2 states/eV per cell.

Q.
A relaxed Ba2Tl2Hg crystal, computed with PBE.

```
Ba2Tl2Hg
1.0
-1.900 4.825 -4.404
0.913 -4.345 -5.155
-4.925 -1.151 -4.391
Ba Hg Tl
2 1 2
direct
0.750 0.250 0.500
0.250 0.750 0.500
0.000 0.000 0.000
0.347 0.347 0.307
0.653 0.653 0.693
```

Values from the calculation:
Its density of states at the Fermi level is 4.3 states/eV per cell.

P is favored, and the nearest alternative lies 0.066 eV/atom above it.

P.
A relaxed Ba2Tl5Hg crystal, computed with PBE.

```
Ba2Tl5Hg
1.0
5.097 0.000 0.000
-2.549 9.967 0.000
0.000 0.000 10.973
Ba Tl Hg
4 10 2
direct
0.799 0.599 0.750
0.000 0.000 0.500
0.201 0.401 0.250
0.000 0.000 0.000
0.805 0.611 0.101
0.642 0.283 0.031
0.805 0.611 0.399
0.195 0.389 0.601
0.642 0.283 0.469
0.358 0.717 0.531
0.400 0.800 0.250
0.600 0.200 0.750
0.195 0.389 0.899
0.358 0.717 0.969
0.549 0.098 0.250
0.451 0.902 0.750
```

Values from the calculation:
Its density of states at the Fermi level is 5.9 states/eV per cell.

Q.
A relaxed Ba2Tl5Hg crystal, computed with PBE.

```
Ba2Tl5Hg
1.0
-7.008 -1.460 0.328
3.769 -3.529 -4.969
3.961 -2.076 5.600
Ba Tl Hg
2 5 1
direct
0.500 0.782 0.282
0.500 0.282 0.782
0.433 0.747 0.747
0.000 0.314 0.747
0.567 0.314 0.314
0.000 0.747 0.314
0.000 0.206 0.206
0.000 0.829 0.829
```

Values from the calculation:
Its density of states at the Fermi level is 4.2 states/eV per cell.

P is favored, and the nearest alternative lies 0.041 eV/atom above it.

P.
A relaxed Ba3TlHg crystal, computed with PBE.

```
Ba3TlHg
1.0
6.545 0.000 0.000
0.000 6.545 0.000
0.000 0.000 6.545
Ba Hg Tl
3 1 1
direct
0.500 0.000 0.000
0.000 0.500 0.000
0.000 0.000 0.500
0.000 0.000 0.000
0.500 0.500 0.500
```

Values from the calculation:
Its density of states at the Fermi level is 7.0 states/eV per cell.

Q.
A relaxed Ba3TlHg crystal, computed with PBE.

```
Ba3TlHg
1.0
5.937 0.000 1.357
0.000 6.087 0.000
0.347 0.000 12.148
Ba Hg Tl
6 2 2
direct
0.400 0.250 0.848
0.075 0.750 0.499
0.248 0.750 0.152
0.746 0.250 0.155
0.574 0.250 0.501
0.902 0.750 0.845
0.665 0.750 0.317
0.983 0.250 0.683
0.166 0.250 0.316
0.482 0.750 0.684
```

Values from the calculation:
Its density of states at the Fermi level is 6.9 states/eV per cell.

Q is favored, and the nearest alternative lies 0.333 eV/atom above it.

P.
A relaxed Ba2Tl8Hg crystal, computed with PBE.

```
Ba2Tl8Hg
1.0
5.256 0.000 0.000
0.000 5.256 0.000
0.000 0.000 13.277
Ba Tl Hg
2 8 1
direct
0.000 0.000 0.691
0.000 0.000 0.309
0.000 0.500 0.500
0.500 0.000 0.500
0.500 0.000 0.872
0.500 0.000 0.128
0.500 0.500 0.685
0.000 0.500 0.872
0.500 0.500 0.315
0.000 0.500 0.128
0.000 0.000 0.000
```

Values from the calculation:
Its density of states at the Fermi level is 6.1 states/eV per cell.

Q.
A relaxed Ba2Tl8Hg crystal, computed with PBE.

```
Ba2Tl8Hg
1.0
5.582 -0.161 -1.430
-1.238 6.682 -3.023
-0.092 0.600 9.909
Tl Hg Ba
8 1 2
direct
0.328 0.828 0.656
0.672 0.172 0.344
0.099 0.889 0.239
0.901 0.111 0.761
0.140 0.350 0.239
0.860 0.650 0.761
0.723 0.409 0.000
0.277 0.591 0.000
0.500 0.000 0.000
0.300 0.300 0.600
0.700 0.700 0.400
```

Values from the calculation:
Its density of states at the Fermi level is 6.2 states/eV per cell.

P is favored, and the nearest alternative lies 0.036 eV/atom above it.

P.
A relaxed BaTl12Hg7 crystal, computed with PBE.

```
BaTl12Hg7
1.0
-5.423 5.852 5.611
7.913 -2.052 4.136
4.416 7.834 1.749
Tl Hg Ba
12 7 1
direct
0.177 0.682 0.411
0.288 0.494 0.782
0.712 0.506 0.218
0.588 0.411 0.907
0.070 0.782 0.724
0.505 0.093 0.318
0.495 0.907 0.682
0.206 0.276 0.506
0.930 0.218 0.276
0.412 0.589 0.093
0.794 0.724 0.494
0.823 0.318 0.589
0.194 0.082 0.255
0.500 0.000 0.000
0.551 0.745 0.337
0.113 0.663 0.082
0.887 0.337 0.918
0.806 0.918 0.745
0.449 0.255 0.663
0.000 0.000 0.000
```

Values from the calculation:
Its density of states at the Fermi level is 11.3 states/eV per cell.

Q.
A relaxed BaTl12Hg7 crystal, computed with PBE.

```
BaTl12Hg7
1.0
9.809 0.000 0.000
-3.270 9.248 0.000
-3.270 -4.624 8.009
Tl Hg Ba
12 7 1
direct
0.228 0.885 0.657
0.343 0.772 0.115
0.115 0.343 0.772
0.772 0.429 0.657
0.885 0.657 0.228
0.228 0.571 0.343
0.657 0.228 0.885
0.571 0.343 0.228
0.429 0.657 0.772
0.772 0.115 0.343
0.343 0.228 0.571
0.657 0.772 0.429
0.500 0.500 0.500
0.500 0.000 0.000
0.500 0.000 0.500
0.000 0.500 0.000
0.000 0.000 0.500
0.500 0.500 0.000
0.000 0.500 0.500
0.000 0.000 0.000
```

Values from the calculation:
Its density of states at the Fermi level is 10.9 states/eV per cell.

P is favored, and the nearest alternative lies 0.125 eV/atom above it.

P.
A relaxed Ba8TlHg2 crystal, computed with PBE.

```
Ba8TlHg2
1.0
6.665 0.072 -1.116
-2.236 8.599 -3.465
0.035 0.022 9.536
Ba Tl Hg
8 1 2
direct
0.400 0.939 0.680
0.181 0.363 0.363
0.576 0.071 0.331
0.576 0.331 0.071
0.805 0.636 0.636
0.400 0.680 0.939
0.992 0.771 0.234
0.992 0.234 0.771
0.099 0.998 0.998
0.489 0.689 0.321
0.489 0.321 0.689
```

Values from the calculation:
Its density of states at the Fermi level is 14.4 states/eV per cell.

Q.
A relaxed Ba8TlHg2 crystal, computed with PBE.

```
Ba8TlHg2
1.0
-2.504 3.351 4.387
-4.540 -6.722 2.543
10.507 -1.653 3.073
Ba Hg Tl
8 2 1
direct
0.965 0.203 0.930
0.671 0.968 0.341
0.035 0.797 0.070
0.201 0.317 0.403
0.329 0.032 0.659
0.594 0.449 0.188
0.406 0.551 0.812
0.799 0.683 0.597
0.815 0.295 0.631
0.185 0.705 0.369
0.500 0.000 0.000
```

Values from the calculation:
Its density of states at the Fermi level is 14.7 states/eV per cell.

Q is favored, and the nearest alternative lies 0.043 eV/atom above it.